Entry 1:
Compound: CsRb2SiAs2
Source: Alexandria via LeMat-Bulk
Functional: PBE-GGA
Structure: relaxed

Values from the calculation:
Raw formation energy = -0.18 eV/atom
Symmetry = No. 58
DOS at the Fermi energy = 6.13 states/eV/cell

Structure (CIF):
```
data_CsRb2SiAs2
_chemical_formula_sum 'Cs2 Rb4 Si2 As4'
_cell_length_a 5.519
_cell_length_b 8.010
_cell_length_c 13.831
_cell_angle_alpha 90.00
_cell_angle_beta 90.00
_cell_angle_gamma 90.00
_symmetry_space_group_name_H-M 'P 1'
_symmetry_Int_Tables_number 1
loop_
_symmetry_equiv_pos_as_xyz
'x,y,z'
loop_
_atom_site_label
_atom_site_type_symbol
_atom_site_fract_x
_atom_site_fract_y
_atom_site_fract_z
As1 As 0.500 0.715 0.400
As2 As 0.000 0.215 0.100
As3 As 0.500 0.285 0.600
As4 As 0.000 0.785 0.900
Rb1 Rb 0.000 0.516 0.689
Rb2 Rb 0.500 0.016 0.811
Rb3 Rb 0.500 0.984 0.189
Rb4 Rb 0.000 0.484 0.311
Cs1 Cs 0.000 0.000 0.500
Cs2 Cs 0.500 0.500 0.000
Si1 Si 0.500 0.500 0.500
Si2 Si 0.000 0.000 0.000
```

---

Entry 2:
Compound: ZrIn2Mo
Source: Alexandria via LeMat-Bulk
Functional: PBE-GGA
Structure: relaxed

Values from the calculation:
Symmetry = No. 99
DOS at the Fermi energy = 3.51 states/eV/cell
Energy relative to the lowest polymorph listed for this composition = 27 meV/atom

Structure (CIF):
```
data_ZrIn2Mo
_chemical_formula_sum 'Zr1 In2 Mo1'
_cell_length_a 3.639
_cell_length_b 3.640
_cell_length_c 6.309
_cell_angle_alpha 90.00
_cell_angle_beta 90.00
_cell_angle_gamma 90.00
_symmetry_space_group_name_H-M 'P 1'
_symmetry_Int_Tables_number 1
loop_
_symmetry_equiv_pos_as_xyz
'x,y,z'
loop_
_atom_site_label
_atom_site_type_symbol
_atom_site_fract_x
_atom_site_fract_y
_atom_site_fract_z
Mo1 Mo 0.000 0.000 0.520
In1 In 0.000 0.000 0.001
In2 In 0.500 0.500 0.260
Zr1 Zr 0.500 0.500 0.719
```